# Pr2InPb, optimized geometry, DFT PBE
data_Pr2InPb
_symmetry_space_group_name_H-M 'A m m 2'
_symmetry_Int_Tables_number 38
_symmetry_space_group_name_Hall 'A 2 -2'
_cell_length_a 4.494
_cell_length_b 4.771
_cell_length_c 11.993
_cell_angle_alpha 90.00
_cell_angle_beta 90.00
_cell_angle_gamma 90.00
loop_
_atom_site_label
_atom_site_type_symbol
_atom_site_fract_x
_atom_site_fract_y
_atom_site_fract_z
Pr1 Pr 0.000 0.000 0.000
Pr2 Pr 0.500 0.000 0.274
In1 In 0.000 0.000 0.725
Pb1 Pb 0.500 0.000 0.552
# Final energy, Ry per atom: -0.3334
# Magnetic moment, μB/f.u.: 0.00
# Energy of formation from the pure elements, kJ/mol of formula units: -206.1



# Tb2Dy7Ho, optimized geometry, DFT PBE
data_Tb2Dy7Ho
_symmetry_space_group_name_H-M 'P -1'
_symmetry_Int_Tables_number 2
_symmetry_space_group_name_Hall '-P 1'
_cell_length_a 6.121
_cell_length_b 6.131
_cell_length_c 9.348
_cell_angle_alpha 102.60
_cell_angle_beta 109.03
_cell_angle_gamma 99.57
loop_
_atom_site_label
_atom_site_type_symbol
_atom_site_fract_x
_atom_site_fract_y
_atom_site_fract_z
Tb1 Tb 0.100 0.000 0.200
Dy1 Dy 0.100 0.500 0.700
Dy2 Dy 0.300 0.000 0.600
Dy3 Dy 0.300 0.500 0.100
Dy4 Dy 0.500 0.000 0.000
Ho1 Ho 0.500 0.500 0.500
# Final energy, Ry per atom: -0.3371
# Magnetic moment, μB/f.u.: 0.00
# Energy of formation from the pure elements, kJ/mol of formula units: 18.0



# Zn5Ag, optimized geometry, DFT PBE
data_Zn5Ag
_symmetry_space_group_name_H-M 'A m m 2'
_symmetry_Int_Tables_number 38
_symmetry_space_group_name_Hall 'A 2 -2'
_cell_length_a 4.518
_cell_length_b 2.875
_cell_length_c 14.230
_cell_angle_alpha 90.00
_cell_angle_beta 90.00
_cell_angle_gamma 90.00
loop_
_atom_site_label
_atom_site_type_symbol
_atom_site_fract_x
_atom_site_fract_y
_atom_site_fract_z
Zn1 Zn 0.000 0.000 0.000
Zn2 Zn 0.000 0.000 0.326
Zn3 Zn 0.000 0.000 0.662
Zn4 Zn 0.500 0.000 0.214
Zn5 Zn 0.500 0.000 0.555
Ag1 Ag 0.500 0.000 0.886
# Final energy, Ry per atom: -0.1130
# Magnetic moment, μB/f.u.: 0.00
# Energy of formation from the pure elements, kJ/mol of formula units: -0.5



# FeIBr2, optimized geometry, DFT PBE
data_FeIBr2
_symmetry_space_group_name_H-M 'I m m 2'
_symmetry_Int_Tables_number 44
_symmetry_space_group_name_Hall 'I 2 -2'
_cell_length_a 5.407
_cell_length_b 10.784
_cell_length_c 7.567
_cell_angle_alpha 90.00
_cell_angle_beta 90.00
_cell_angle_gamma 90.00
loop_
_atom_site_label
_atom_site_type_symbol
_atom_site_fract_x
_atom_site_fract_y
_atom_site_fract_z
Fe1 Fe 0.000 0.000 0.000
I1 I 0.000 0.000 0.673
Br1 Br 0.000 0.184 0.149
# Final energy, Ry per atom: -0.2595
# Magnetic moment, μB/f.u.: 5.02



# NbCr, optimized geometry, DFT PBE
data_NbCr
_symmetry_space_group_name_H-M 'P 63/m m c'
_symmetry_Int_Tables_number 194
_symmetry_space_group_name_Hall '-P 6c 2c'
_cell_length_a 4.2487
_cell_length_b 4.2487
_cell_length_c 5.1042
_cell_angle_alpha 90.00
_cell_angle_beta 90.00
_cell_angle_gamma 120.00
loop_
_atom_site_label
_atom_site_type_symbol
_atom_site_fract_x
_atom_site_fract_y
_atom_site_fract_z
Nb1 Nb 0.3333 0.6667 0.2500
Cr1 Cr 0.3333 0.6667 0.7500
# Final energy, Ry per atom: -0.6139
# Magnetic moment, μB/f.u.: 0.92
# Energy of formation from the pure elements, kJ/mol of formula units: 288.2



# Ba2SnGe4Au3, optimized geometry, DFT PBE
data_Ba2SnGe4Au3
_symmetry_space_group_name_H-M 'P -4 m 2'
_symmetry_Int_Tables_number 115
_symmetry_space_group_name_Hall 'P -4 -2'
_cell_length_a 4.698
_cell_length_b 4.698
_cell_length_c 11.036
_cell_angle_alpha 90.00
_cell_angle_beta 90.00
_cell_angle_gamma 90.00
loop_
_atom_site_label
_atom_site_type_symbol
_atom_site_fract_x
_atom_site_fract_y
_atom_site_fract_z
Ba1 Ba 0.000 0.500 0.241
Sn1 Sn 0.000 0.000 0.500
Ge1 Ge 0.000 0.000 0.000
Ge2 Ge 0.000 0.500 0.642
Ge3 Ge 0.500 0.500 0.000
Au1 Au 0.000 0.500 0.880
Au2 Au 0.500 0.500 0.500
# Final energy, Ry per atom: -0.3004
# Magnetic moment, μB/f.u.: 0.00
# Energy of formation from the pure elements, kJ/mol of formula units: -456.2



# Sr2ReTc, optimized geometry, DFT PBE
data_Sr2ReTc
_symmetry_space_group_name_H-M 'F m -3 m'
_symmetry_Int_Tables_number 225
_symmetry_space_group_name_Hall '-F 4 2 3'
_cell_length_a 7.388
_cell_length_b 7.388
_cell_length_c 7.388
_cell_angle_alpha 90.00
_cell_angle_beta 90.00
_cell_angle_gamma 90.00
loop_
_atom_site_label
_atom_site_type_symbol
_atom_site_fract_x
_atom_site_fract_y
_atom_site_fract_z
Sr1 Sr 0.250 0.250 0.250
Re1 Re 0.000 0.000 0.000
Tc1 Tc 0.000 0.000 0.500
# Final energy, Ry per atom: -0.3685
# Magnetic moment, μB/f.u.: 4.39
# Energy of formation from the pure elements, kJ/mol of formula units: 590.9



# CeY4Ru2, optimized geometry, DFT PBE
data_CeY4Ru2
_symmetry_space_group_name_H-M 'P 1 21/m 1'
_symmetry_Int_Tables_number 11
_symmetry_space_group_name_Hall '-P 2yb'
_cell_length_a 7.663
_cell_length_b 6.464
_cell_length_c 8.403
_cell_angle_alpha 90.00
_cell_angle_beta 114.82
_cell_angle_gamma 90.00
loop_
_atom_site_label
_atom_site_type_symbol
_atom_site_fract_x
_atom_site_fract_y
_atom_site_fract_z
Ce1 Ce 0.036 0.250 0.189
Y1 Y 0.249 0.504 0.591
Y2 Y 0.315 0.750 0.251
Y3 Y 0.373 0.250 0.006
Ru1 Ru 0.016 0.250 0.711
Ru2 Ru 0.374 0.250 0.347
# Final energy, Ry per atom: -0.5438
# Magnetic moment, μB/f.u.: 0.51
# Energy of formation from the pure elements, kJ/mol of formula units: -139.6



> What is the formula in the first record?

Pr2InPb